Model 1:
52
Lattice="6.325 0.002 0.000 -2.321 8.128 0.000 0.000 0.000 15.516" Properties=species:S:1:pos:R:3 comment="PBE+U CrP3O9, optimized geometry" spacegroup="No. 14" crystal_system=monoclinic pbc="T T T"
Cr 5.276 1.025 5.639
Cr 4.116 5.089 2.119
Cr -0.112 3.042 13.397
Cr -1.273 7.106 9.877
P 4.726 2.265 0.685
P 1.890 6.413 9.503
P 2.113 1.718 6.013
P 1.288 0.121 13.011
P 3.876 3.945 5.253
P 3.051 2.349 13.771
P 0.127 4.185 10.263
P 0.953 5.782 1.745
P 0.438 1.801 8.443
P 3.566 6.329 7.073
P -0.723 5.865 14.831
P 2.715 8.009 2.505
O 0.677 7.294 9.496
O -1.067 7.348 14.343
O 5.070 0.783 1.173
O 0.830 0.961 9.623
O 2.468 3.167 5.407
O 3.909 4.847 6.585
O -0.252 5.265 2.471
O 3.094 6.930 10.229
O 1.307 7.231 2.351
O -1.028 5.136 10.145
O -0.449 2.732 15.349
O 4.334 3.105 1.865
O 0.241 3.292 11.449
O 3.422 1.978 15.297
O 4.453 5.399 0.168
O 0.909 1.201 5.287
O 3.326 0.836 6.020
O 4.255 2.865 13.045
O 1.742 2.088 7.539
O 3.871 7.059 2.387
O 4.923 0.775 3.691
O 3.762 4.839 4.067
O 1.838 3.230 13.778
O -1.610 6.796 7.926
O 5.613 1.335 7.591
O -0.920 7.356 11.825
O 2.696 0.900 13.165
O -0.331 5.025 13.651
O 0.094 3.283 8.932
O 0.582 6.152 0.219
O 1.535 4.964 10.109
O 0.132 1.072 13.129
O 3.174 7.169 5.893
O 2.261 6.042 7.977
O 2.165 4.900 1.738
O 5.032 2.995 5.371


Model 2:
26
Lattice="-3.050 -0.126 5.867 2.729 -3.243 5.076 4.695 8.030 2.655" Properties=species:S:1:pos:R:3 comment="PBE+U CrP3O9, optimized geometry" spacegroup="No. 9" crystal_system=monoclinic pbc="T T T"
Cr 2.233 2.893 4.985
Cr 4.594 6.900 6.311
P 5.271 3.696 6.001
P 3.029 5.798 3.634
P 1.941 5.195 7.309
P -0.828 1.705 5.187
P 1.591 1.292 2.182
P 2.436 -0.353 5.592
O 3.613 2.848 11.561
O 5.005 3.361 7.555
O 1.973 3.801 6.753
O 3.243 5.930 7.426
O 0.239 2.719 4.894
O 2.379 1.114 5.895
O 1.155 -1.038 5.216
O -0.997 0.571 4.219
O 5.483 5.171 5.825
O 4.225 3.035 5.154
O 3.414 6.788 4.694
O -0.638 1.124 6.678
O 0.509 -0.759 10.337
O 2.146 4.654 4.036
O 2.425 2.040 3.181
O 1.198 -0.116 2.516
O 1.302 5.110 8.771
O 3.008 -1.091 6.889


Question: which arrangement is favored energetically? Ranking from most to least stable: model 1, model 2.


Model 1:
18
Lattice="-2.575 -3.402 -2.639 3.037 -6.002 1.611 -4.938 -2.101 4.363" Properties=species:S:1:pos:R:3 comment="PBE+U CrP2O6, optimized geometry" spacegroup="No. 15" crystal_system=monoclinic pbc="T T T"
Cr 1.475 -6.404 1.267
Cr -5.952 -5.102 2.067
P -0.443 -3.474 0.826
P -3.160 -4.476 0.000
P -1.316 -7.029 3.334
P -4.034 -8.031 2.508
O -0.506 -2.505 -0.350
O -3.031 -3.601 -1.243
O -1.446 -7.904 4.577
O -3.971 -9.000 3.684
O 0.717 -4.394 0.954
O -4.306 -4.268 0.923
O -0.171 -7.237 2.411
O -5.194 -7.111 2.380
O -1.794 -4.366 0.840
O -3.158 -6.030 -0.454
O -1.319 -5.476 3.788
O -2.683 -7.140 2.495


Model 2:
18
Lattice="-2.568 3.613 -1.502 -4.580 -7.125 -0.039 0.319 -0.109 8.463" Properties=species:S:1:pos:R:3 comment="PBE+U CrP2O6, optimized geometry" spacegroup="No. 15" crystal_system=monoclinic pbc="T T T"
Cr -4.160 -4.701 1.428
Cr -2.669 1.080 5.494
P -1.612 -2.462 1.666
P -4.674 -4.026 4.721
P -5.217 -1.159 5.256
P -2.155 0.406 2.201
O -1.829 -1.129 2.556
O -3.389 -3.830 5.684
O -4.999 -2.492 4.366
O -3.440 0.210 1.239
O -2.595 1.063 3.471
O -3.885 -0.538 5.535
O -4.234 -4.684 3.452
O -2.944 -3.082 1.387
O -3.271 1.472 -0.982
O -5.787 -4.641 5.512
O -3.558 -5.093 7.904
O -1.042 1.020 1.411


Question: which arrangement is favored energetically? Ranking from most to least stable: model 2, model 1.


Model 1:
42
Lattice="4.800 0.000 -0.003 0.302 8.038 -0.004 0.049 0.090 12.890" Properties=species:S:1:pos:R:3 comment="PBE+U Cr3P4O14, optimized geometry" spacegroup="No. 2" crystal_system=triclinic pbc="T T T"
Cr 4.013 8.038 9.444
Cr 3.612 4.012 9.816
Cr 0.024 0.045 6.445
Cr 1.138 0.089 3.439
Cr 1.539 4.116 3.067
Cr 2.551 4.019 -0.003
P 1.270 2.006 10.870
P 1.359 5.735 8.377
P 3.793 2.393 4.506
P 2.540 2.083 7.232
P 3.881 6.121 2.013
P 0.216 2.023 0.798
P 2.612 6.045 5.651
P 4.935 6.105 12.085
O 3.288 2.771 5.990
O 1.120 1.701 6.863
O 0.330 0.960 1.837
O 4.821 7.168 11.046
O 0.286 4.740 8.735
O 4.147 6.593 0.497
O 1.794 7.344 5.334
O 3.029 4.802 1.812
O 2.493 5.046 4.529
O 3.357 0.784 7.549
O 4.726 2.334 10.206
O 3.123 7.231 2.667
O 1.863 5.357 6.893
O 1.551 5.724 12.462
O 1.051 3.314 1.192
O 0.425 5.794 2.677
O 2.028 0.897 10.216
O 3.600 2.404 0.421
O 1.004 1.534 12.386
O 4.865 3.388 4.148
O 2.659 3.082 8.354
O 4.031 6.427 6.020
O 2.122 3.326 11.071
O 4.100 4.814 11.691
O 4.351 0.934 4.661
O 2.576 2.412 3.569
O 0.801 7.194 8.222
O 2.575 5.715 9.314


Model 2:
21
Lattice="-3.750 4.054 -2.892 1.560 -1.754 -6.614 -6.443 -3.335 -1.971" Properties=species:S:1:pos:R:3 comment="PBE+U Cr3P4O14, optimized geometry" spacegroup="No. 2" crystal_system=triclinic pbc="T T T"
Cr -6.109 -0.115 -7.198
Cr -2.524 -0.920 -4.278
Cr 0.000 0.000 0.000
P -4.407 -2.573 -6.398
P -6.948 -2.059 -4.916
P -1.685 1.024 -6.561
P -4.226 1.537 -5.078
O -4.485 -1.150 -6.958
O -5.269 1.553 -6.287
O -6.843 -1.507 -8.315
O -3.364 -2.588 -5.190
O -1.790 0.471 -3.162
O -6.541 -1.965 -3.469
O -4.077 -3.654 -7.374
O -5.825 -2.913 -5.735
O -4.556 2.618 -4.102
O -4.148 0.115 -4.518
O -2.092 0.930 -8.007
O -7.022 -0.661 -5.591
O -2.808 1.878 -5.742
O -1.611 -0.375 -5.885


Question: which arrangement is favored energetically? Ranking from most to least stable: model 1, model 2.


Model 1:
5
Lattice="3.871 0.000 0.000 0.000 3.871 0.000 0.000 0.000 5.036" Properties=species:S:1:pos:R:3 comment="PBE+U CrPPbO2, optimized geometry" spacegroup="No. 123" crystal_system=tetragonal pbc="T T T"
Pb 1.935 1.935 2.518
Cr 0.000 0.000 0.000
O 0.000 1.935 0.000
O 1.935 0.000 0.000
P 0.000 0.000 2.518


Model 2:
5
Lattice="-1.980 -0.141 -3.618 0.695 -4.062 -0.222 -4.896 -0.986 2.717" Properties=species:S:1:pos:R:3 comment="PBE+U CrPPbO2, optimized geometry" spacegroup="No. 123" crystal_system=tetragonal pbc="T T T"
Pb 0.000 0.000 0.000
Cr -3.091 -2.594 -0.562
O 0.347 -2.031 -0.111
O -0.990 -0.070 -1.809
P -2.448 -0.493 1.359


Question: which arrangement is favored energetically? Ranking from most to least stable: model 1, model 2.


Model 1:
5
Lattice="4.768 0.000 0.000 0.000 4.768 0.000 0.000 0.000 3.454" Properties=species:S:1:pos:R:3 comment="PBE+U CrP2PdO, optimized geometry" spacegroup="No. 123" crystal_system=tetragonal pbc="T T T"
Cr 0.000 0.000 0.000
O 0.000 0.000 1.727
Pd 2.384 2.384 1.727
P 0.000 2.384 0.000
P 2.384 0.000 0.000


Model 2:
5
Lattice="4.809 0.000 0.000 0.000 4.809 0.000 0.000 0.000 3.819" Properties=species:S:1:pos:R:3 comment="PBE+U CrP2PdO, optimized geometry" spacegroup="No. 123" crystal_system=tetragonal pbc="T T T"
Cr 2.404 2.404 1.909
O 0.000 0.000 1.909
Pd 0.000 0.000 0.000
P 0.000 2.404 0.000
P 2.404 0.000 0.000


Question: which arrangement is favored energetically? Ranking from most to least stable: model 1, model 2.


Model 1:
5
Lattice="-1.381 3.550 0.684 -1.911 -1.338 3.088 4.047 1.007 2.940" Properties=species:S:1:pos:R:3 comment="PBE+U CrPPdO2, optimized geometry" spacegroup="No. 123" crystal_system=tetragonal pbc="T T T"
Cr 0.378 1.610 3.356
O -0.955 -0.669 1.544
O -0.690 1.775 0.342
Pd 0.000 0.000 0.000
P 2.023 0.504 1.470


Model 2:
5
Lattice="-0.749 1.538 3.146 3.049 -1.296 1.359 2.704 4.653 -1.631" Properties=species:S:1:pos:R:3 comment="PBE+U CrPPdO2, optimized geometry" spacegroup="No. 123" crystal_system=tetragonal pbc="T T T"
Cr 0.000 0.000 0.000
O 1.525 -0.648 0.680
O -0.374 0.769 1.573
Pd 2.502 2.447 1.437
P 1.352 2.326 -0.816


Question: which arrangement is favored energetically? Ranking from most to least stable: model 2, model 1.